No. 1
Material: CuHgOs2
Method: DFT, PBEsol
State: optimized geometry

The formation energy comes out at 0.65 eV/atom. The calculation puts the density at 18.0 g/cm3. For the density of states at the Fermi level, the calculation gives 1.0234 states/eV per atom. The total magnetization comes out at 0.002 μB/cell.

It has space group Immm (No. 71), with a = 2.785 Å, b = 4.391 Å, c = 9.743 Å, α = 90.00°, β = 90.00° and γ = 90.00°. The inequivalent atoms are Cu at (0.000, 0.000, 0.000), Hg at (0.000, 0.000, 0.500) and Os at (0.000, 0.500, 0.283).

=====

No. 2
Material: Ag2SCl
Method: DFT, PBEsol
State: optimized geometry

Its energy relative to the elements, uncorrected is -0.36 eV/f.u. The calculation puts the density at 5.0 g/cm3. For the density of states at the Fermi level, the calculation gives 0.8382 states/eV per atom. The total magnetization comes out at 0.002 μB/cell.

It has space group I-42d (No. 122), with a = 5.725 Å, b = 5.725 Å, c = 11.481 Å, α = 90.00°, β = 90.00° and γ = 90.00°. The inequivalent atoms are Ag at (0.216, 0.250, 0.125), S at (0.000, 0.000, 0.000) and Cl at (0.000, 0.000, 0.500).

=====

No. 3
Material: HRh3Cl
Method: DFT, PBEsol
State: optimized geometry

The calculation puts the density at 9.6 g/cm3. For the density of states at the Fermi level, the calculation gives 1.4626 states/eV per atom. The total magnetization comes out at 0.001 μB/cell. The value obtained for the total energy is -5.368 eV/atom.

It has space group Pm-3m (No. 221), with a = 3.903 Å, b = 3.903 Å, c = 3.903 Å, α = 90.00°, β = 90.00° and γ = 90.00°. The inequivalent atoms are H at (0.000, 0.000, 0.000), Rh at (0.000, 0.000, 0.500) and Cl at (0.500, 0.500, 0.500).

=====

No. 4
Material: Be2HgPb
Method: DFT, PBEsol
State: optimized geometry

The formation energy comes out at 0.68 eV/atom. The calculation puts the density at 9.9 g/cm3. For the density of states at the Fermi level, the calculation gives 0.4382 states/eV per atom. The total magnetization comes out at 0.000 μB/cell.

It has space group I-4m2 (No. 119), with a = 3.716 Å, b = 3.716 Å, c = 10.309 Å, α = 90.00°, β = 90.00° and γ = 90.00°. The inequivalent atoms are Be at (0.000, 0.000, 0.000), Be at (0.000, 0.500, 0.250), Hg at (0.000, 0.000, 0.500) and Pb at (0.000, 0.500, 0.750).

=====

No. 5
Material: K2Cd2S3O12
Method: DFT, PBEsol
State: optimized geometry

Its energy relative to the elements, uncorrected is -30.24 eV/f.u. The calculation puts the density at 3.6 g/cm3. For the density of states at the Fermi level, the calculation gives 0.0000 states/eV per atom. The total magnetization comes out at 0.001 μB/cell.

It has space group P2_13 (No. 198), with a = 10.305 Å, b = 10.305 Å, c = 10.305 Å, α = 90.00°, β = 90.00° and γ = 90.00°. The inequivalent atoms are K at (0.053, 0.053, 0.053), K at (0.190, 0.310, 0.690), Cd at (0.081, 0.919, 0.419), Cd at (0.174, 0.674, 0.826), S at (0.010, 0.231, 0.375), O at (0.009, 0.099, 0.315), O at (0.019, 0.086, 0.736), O at (0.029, 0.828, 0.223) and O at (0.073, 0.859, 0.761).

=====

No. 6
Material: BaTe3
Method: DFT, PBEsol
State: optimized geometry

Its energy relative to the elements, uncorrected is -3.21 eV/f.u. The calculation puts the density at 6.2 g/cm3. For the density of states at the Fermi level, the calculation gives 0.1134 states/eV per atom. The total magnetization comes out at 0.000 μB/cell.

It has space group P2/m (No. 10), with a = 4.659 Å, b = 4.229 Å, c = 7.397 Å, α = 90.00°, β = 106.62° and γ = 90.00°. The inequivalent atoms are Ba at (0.000, 0.000, 0.000), Te at (0.000, 0.000, 0.500) and Te at (0.370, 0.500, 0.751).

=====

No. 7
Material: ZrCdAu
Method: DFT, PBEsol
State: optimized geometry

The formation energy comes out at -0.37 eV/atom. The calculation puts the density at 11.7 g/cm3. For the density of states at the Fermi level, the calculation gives 0.5633 states/eV per atom. The total magnetization comes out at 0.000 μB/cell.

It has space group P-6m2 (No. 187), with a = 4.7251 Å, b = 4.7251 Å, c = 2.9281 Å, α = 90.00°, β = 90.00° and γ = 120.00°. The inequivalent atoms are Zr at (0.0000, 0.0000, 0.0000), Cd at (0.6667, 0.3333, 0.5000) and Au at (0.3333, 0.6667, 0.5000).

=====

No. 8
Material: LiGe2Rh2
Method: DFT, PBEsol
State: optimized geometry

The formation energy comes out at -0.51 eV/atom. The calculation puts the density at 7.1 g/cm3. For the density of states at the Fermi level, the calculation gives 0.4059 states/eV per atom. The total magnetization comes out at 0.000 μB/cell.

It has space group I4/mmm (No. 139), with a = 4.053 Å, b = 4.053 Å, c = 10.131 Å, α = 90.00°, β = 90.00° and γ = 90.00°. The inequivalent atoms are Li at (0.000, 0.000, 0.000), Ge at (0.000, 0.000, 0.378) and Rh at (0.000, 0.500, 0.250).

=====

No. 9
Material: CaSbIr2
Method: DFT, PBEsol
State: optimized geometry

Its energy relative to the elements, uncorrected is -0.05 eV/f.u. The calculation puts the density at 12.0 g/cm3. For the density of states at the Fermi level, the calculation gives 0.7362 states/eV per atom. The total magnetization comes out at 0.000 μB/cell.

It has space group Pmm2 (No. 25), with a = 2.968 Å, b = 4.035 Å, c = 6.296 Å, α = 90.00°, β = 90.00° and γ = 90.00°. The inequivalent atoms are Ca at (0.000, 0.000, 0.000), Sb at (0.500, 0.500, 0.668), Ir at (0.000, 0.000, 0.456) and Ir at (0.500, 0.500, 0.263).